Entry from OQMD: NdCo3Pt4O12 after structural relaxation (PBE with a Hubbard U).

Results
Volume ... 11.1 Å³ per atom
Space group ... No. 204
Calculated total energy ... -0.4501 Ry per atom

Structure (CIF):
```
data_NdCo3Pt4O12
_cell_length_a 6.610
_cell_length_b 6.610
_cell_length_c 6.610
_cell_angle_alpha 109.47
_cell_angle_beta 109.47
_cell_angle_gamma 109.47
_symmetry_space_group_name_H-M 'P 1'
_symmetry_Int_Tables_number 1
loop_
_symmetry_equiv_pos_as_xyz
'x,y,z'
loop_
_atom_site_label
_atom_site_type_symbol
_atom_site_fract_x
_atom_site_fract_y
_atom_site_fract_z
Nd1 Nd 0.000 0.000 0.000
Co1 Co 0.000 0.500 0.500
Co2 Co 0.500 0.000 0.500
Co3 Co 0.500 0.500 0.000
Pt1 Pt 0.000 0.000 0.500
Pt2 Pt 0.000 0.500 0.000
Pt3 Pt 0.500 0.000 0.000
Pt4 Pt 0.500 0.500 0.500
O1 O 0.135 0.831 0.304
O2 O 0.169 0.304 0.473
O3 O 0.169 0.696 0.865
O4 O 0.304 0.135 0.831
O5 O 0.304 0.473 0.169
O6 O 0.473 0.169 0.304
O7 O 0.527 0.831 0.696
O8 O 0.696 0.527 0.831
O9 O 0.696 0.865 0.169
O10 O 0.831 0.304 0.135
O11 O 0.831 0.696 0.527
O12 O 0.865 0.169 0.696
```